Below is TcPt at its PBEsol-relaxed geometry, with properties calculated at the SCAN level.

```
4
Lattice="-1.9426 1.9426 3.7978 1.9426 -1.9426 3.7978 1.9426 1.9426 -3.7978" Properties=species:S:1:pos:R:3 pbc="T T T"
Tc 1.9426 0.9713 0.9495
Tc 0.0000 0.9713 2.8484
Pt 1.9426 -0.9713 2.8484
Pt 0.0000 2.9139 0.9495
```

- Excess energy over the best structure of this formula in the dataset: 38 meV/atom
- DFT formation energy: -0.189 eV/atom
- Total magnetization: 0.00 μB/cell
- Space group: I4_1/amd, No. 141